The following is a GGA-PBE calculation of a relaxed NaGaCuSe3 crystal, from OQMD.

Cell lengths 7.7001, 3.6884, 9.9949 Å; angles 90.00, 106.10, 90.00 degrees
Element x y z (fractional)
Na: 0.2486 0.2500 0.2072
Na: 0.7514 0.7500 0.7928
Ga: 0.1790 0.7500 0.6080
Ga: 0.8210 0.2500 0.3920
Cu: 0.4220 0.2500 0.9029
Cu: 0.5780 0.7500 0.0971
Se: 0.0464 0.7500 0.3509
Se: 0.2574 0.7500 0.9669
Se: 0.4155 0.2500 0.6569
Se: 0.5845 0.7500 0.3431
Se: 0.7426 0.2500 0.0331
Se: 0.9536 0.2500 0.6491

ρ, g/cm3: 4.79
Electronic total energy, eV/atom: -3.582

The following is a GGA-PBE calculation of a relaxed MgBeFe2 crystal, from OQMD.

Cell lengths 5.7420, 5.7420, 5.7420 Å; angles 90.00, 90.00, 90.00 degrees
Element x y z (fractional)
Mg: 0.0000 0.0000 0.0000
Mg: 0.0000 0.0000 0.5000
Mg: 0.0000 0.5000 0.0000
Mg: 0.5000 0.0000 0.0000
Be: 0.0000 0.5000 0.5000
Be: 0.5000 0.0000 0.5000
Be: 0.5000 0.5000 0.0000
Be: 0.5000 0.5000 0.5000
Fe: 0.2811 0.2811 0.2811
Fe: 0.2811 0.2811 0.7189
Fe: 0.2811 0.7189 0.2811
Fe: 0.2811 0.7189 0.7189
Fe: 0.7189 0.2811 0.2811
Fe: 0.7189 0.2811 0.7189
Fe: 0.7189 0.7189 0.2811
Fe: 0.7189 0.7189 0.7189

ρ, g/cm3: 5.09
Offset from the most stable computed form, meV/atom: 0.0
Total magnetic moment, μB per cell: 14.149

The following is a GGA-PBE calculation of a relaxed CuSbTeW crystal, from OQMD.

Cell lengths 6.8473, 6.8473, 6.8473 Å; angles 90.00, 90.00, 90.00 degrees
Element x y z (fractional)
Cu: 0.0000 0.0000 0.0000
Cu: 0.0000 0.5000 0.5000
Cu: 0.5000 0.0000 0.5000
Cu: 0.5000 0.5000 0.0000
Sb: 0.2500 0.2500 0.2500
Sb: 0.2500 0.7500 0.7500
Sb: 0.7500 0.2500 0.7500
Sb: 0.7500 0.7500 0.2500
Te: 0.0000 0.0000 0.5000
Te: 0.0000 0.5000 0.0000
Te: 0.5000 0.0000 0.0000
Te: 0.5000 0.5000 0.5000
W: 0.2500 0.2500 0.7500
W: 0.2500 0.7500 0.2500
W: 0.7500 0.2500 0.2500
W: 0.7500 0.7500 0.7500

ρ, g/cm3: 10.28
Offset from the most stable computed form, meV/atom: 377.7
Total magnetic moment, μB per cell: 6.723